No. 1
DFT (PBE-GGA) results for a relaxed GaSiTe2N crystal.

Structure (POSCAR):
```
GaSiTe2N
1.0
-4.271 3.951 0.130
-3.856 -4.121 -1.422
-0.489 -0.633 3.160
Ga N Si Te
1 1 1 2
Direct
0.500 0.500 0.500
0.000 0.000 0.500
0.000 0.000 0.000
0.500 0.000 0.000
0.000 0.500 0.000
```

Calculated values
- polymorph energy (0 for the lowest one) (meV/atom) = 0
- total moment (μB per cell) = 0.0
- N(E_F) (states/eV per cell) = 1.84
- raw total energy (eV/atom) = -4.470
- raw formation energy (eV/atom) = 0.1419


No. 2
DFT (PBE-GGA) results for a relaxed Sr2NpN4 crystal.

Structure (POSCAR):
```
Sr2NpN4
1.0
-1.934 -1.108 2.794
2.806 -4.985 -0.035
2.443 4.633 3.528
N Sr Np
4 2 1
Direct
0.000 0.690 0.071
0.500 0.190 0.310
0.000 0.452 0.071
0.500 0.952 0.833
0.500 0.723 0.375
0.500 0.419 0.767
0.000 0.071 0.071
```

Calculated values
- polymorph energy (0 for the lowest one) (meV/atom) = 0
- total moment (μB per cell) = 1.0
- N(E_F) (states/eV per cell) = 1.41
- raw total energy (eV/atom) = -7.940
- raw formation energy (eV/atom) = -0.8537


No. 3
DFT (PBE-GGA) results for a relaxed Er4AgHg3 crystal.

Structure (POSCAR):
```
Er4AgHg3
1.0
3.742 0.000 0.000
0.000 4.778 0.000
0.000 0.000 11.367
Er Hg Ag
4 3 1
Direct
0.000 0.000 0.144
0.500 0.500 0.349
0.500 0.000 0.649
0.000 0.500 0.858
0.500 0.000 0.918
0.000 0.000 0.413
0.000 0.500 0.587
0.500 0.500 0.082
```

Calculated values
- polymorph energy (0 for the lowest one) (meV/atom) = 46
- energy of formation (eV per formula unit) = -3.19
- total moment (μB per cell) = 0.0
- N(E_F) (states/eV per cell) = 7.47
- raw total energy (eV/atom) = -3.150


No. 4
DFT (PBE-GGA) results for a relaxed VSnP2Cl crystal.

Structure (POSCAR):
```
VSnP2Cl
1.0
5.037 0.000 0.000
0.000 5.037 0.000
0.000 0.000 5.043
Cl P V Sn
1 2 1 1
Direct
0.000 0.000 0.500
0.500 0.000 0.000
0.000 0.500 0.000
0.500 0.500 0.500
0.000 0.000 0.000
```

Calculated values
- polymorph energy (0 for the lowest one) (meV/atom) = 916
- total moment (μB per cell) = 2.6
- N(E_F) (states/eV per cell) = 7.12
- raw total energy (eV/atom) = -4.227
- raw formation energy (eV/atom) = 0.9304


No. 5
DFT (PBE-GGA) results for a relaxed CaBiPd3 crystal.

Structure (POSCAR):
```
CaBiPd3
1.0
0.872 -2.578 -4.910
2.398 -7.903 4.575
-5.415 4.063 0.115
Pd Ca Bi
6 2 2
Direct
0.685 0.685 0.869
0.315 0.315 0.131
0.185 0.685 0.869
0.815 0.315 0.131
0.750 0.050 0.500
0.250 0.950 0.500
0.250 0.255 0.500
0.750 0.745 0.500
0.500 0.000 0.000
0.000 0.500 0.000
```

Calculated values
- polymorph energy (0 for the lowest one) (meV/atom) = 0
- energy of formation (eV per formula unit) = -2.32
- total moment (μB per cell) = 0.0
- N(E_F) (states/eV per cell) = 4.34
- raw total energy (eV/atom) = -4.756


No. 6
DFT (PBE-GGA) results for a relaxed NaTaNbO6 crystal.

Structure (POSCAR):
```
NaTaNbO6
1.0
-3.003 -3.535 1.773
2.911 -0.468 3.995
-5.192 6.701 4.569
O Nb Ta Na
12 2 2 2
Direct
0.221 0.779 0.202
0.277 0.277 0.299
0.723 0.723 0.299
0.324 0.324 0.999
0.676 0.676 0.999
0.223 0.777 0.799
0.777 0.223 0.799
0.779 0.221 0.202
0.279 0.279 0.702
0.721 0.721 0.702
0.824 0.176 0.499
0.176 0.824 0.499
0.000 0.000 0.663
0.500 0.500 0.163
0.500 0.500 0.838
0.000 0.000 0.338
0.000 0.000 0.000
0.500 0.500 0.500
```

Calculated values
- total moment (μB per cell) = 2.0
- N(E_F) (states/eV per cell) = 6.01
- raw total energy (eV/atom) = -8.212
- raw formation energy (eV/atom) = -2.3245